Compound: Nd3ZnCl3
Source: Alexandria
Functional: GGA-PBE
Structure: relaxed

The uncorrected formation energy comes out at -10.04 eV/f.u. The electronic total energy comes out at -4.4513 eV per atom.

The structure in CIF format:
```
data_Nd3ZnCl3
_chemical_formula_sum 'Nd3 Zn1 Cl3'
_cell_length_a 5.825
_cell_length_b 5.825
_cell_length_c 5.825
_cell_angle_alpha 90.00
_cell_angle_beta 90.00
_cell_angle_gamma 90.00
_symmetry_space_group_name_H-M 'P 1'
_symmetry_Int_Tables_number 1
_symmetry_space_group_name_Hall 'P 1'
loop_
_atom_site_label
_atom_site_fract_x
_atom_site_fract_y
_atom_site_fract_z
Nd1 0.000 0.000 0.500
Nd2 0.000 0.500 0.000
Nd3 0.500 0.000 0.000
Zn1 0.000 0.000 0.000
Cl1 0.000 0.500 0.500
Cl2 0.500 0.000 0.500
Cl3 0.500 0.500 0.000
```